Density functional theory data (PBE-GGA) for an optimized crystal structure of LaEuCoAu.

Output
Density of states at the Fermi level ... 1.8928 states/eV per atom
Calculated total energy ... -26.65 eV/f.u.
Energy of formation from the pure elements ... -1.1 eV per formula unit
Space group ... No. 216

Cell lengths 7.2786, 7.2786, 7.2786 Å; angles 90.00, 90.00, 90.00 degrees
Element x y z (fractional)
La 0.0000 0.0000 0.0000
La 0.0000 0.5000 0.5000
La 0.5000 0.0000 0.5000
La 0.5000 0.5000 0.0000
Eu 0.0000 0.0000 0.5000
Eu 0.0000 0.5000 0.0000
Eu 0.5000 0.0000 0.0000
Eu 0.5000 0.5000 0.5000
Co 0.2500 0.2500 0.7500
Co 0.2500 0.7500 0.2500
Co 0.7500 0.2500 0.2500
Co 0.7500 0.7500 0.7500
Au 0.2500 0.2500 0.2500
Au 0.2500 0.7500 0.7500
Au 0.7500 0.2500 0.7500
Au 0.7500 0.7500 0.2500